No. 1
## Na3U3ZnS8 (PBE)

Data for an optimized crystal structure of Na3U3ZnS8.

Cell lengths 7.7940, 7.7931, 8.1372 Å; angles 118.62, 90.00, 120.00 degrees
Last column: magnetic moment on the atom in μB.
Fractional coordinates of all 15 atoms:
Na (0.0000, 0.5000, 0.0000)  0.00
Na (0.0000, 0.0000, 0.0000)  0.00
Na (0.5000, 0.5000, 0.0000)  0.00
S (0.2559, 0.5119, 0.2680)  -0.06
S (0.7657, 0.5314, 0.2837)  -0.06
S (0.7441, 0.4881, 0.7320)  -0.06
S (0.7654, 0.0180, 0.2835)  -0.06
S (0.2346, 0.9820, 0.7165)  -0.06
S (0.2526, 0.0180, 0.2835)  -0.06
S (0.2343, 0.4686, 0.7163)  -0.06
S (0.7474, 0.9820, 0.7165)  -0.06
U (0.5000, 0.0000, 0.5000)  2.26
U (0.0000, 0.5000, 0.5000)  2.26
U (0.5000, 0.5000, 0.5000)  2.26
Zn (0.0000, 0.0000, 0.5000)  0.01

Results
Total DFT energy (no corrections), eV/atom: -6.03
Symmetry: R-3m (166)
E_form (uncorrected), eV per atom: -1.226
DOS(E_F), states/eV/cell: 10.31

=====

No. 2
## NaUZnS4 (PBE)

Data for an optimized crystal structure of NaUZnS4.

Cell lengths 7.4096, 7.7508, 7.7508 Å; angles 63.00, 61.45, 61.45 degrees
Last column: magnetic moment on the atom in μB.
Fractional coordinates of all 14 atoms:
S (0.2310, 0.2588, 0.7588)  -0.04
S (0.7684, 0.7202, 0.7429)  -0.04
S (0.7690, 0.7412, 0.2412)  -0.04
S (0.7684, 0.2429, 0.2202)  -0.04
S (0.2316, 0.2798, 0.2571)  -0.04
S (0.7514, 0.2588, 0.7588)  -0.04
S (0.2316, 0.7571, 0.7798)  -0.04
S (0.2486, 0.7412, 0.2412)  -0.04
Zn (0.3529, 0.3971, 0.8971)  0.00
Zn (0.6471, 0.6029, 0.1029)  0.00
Na (0.0000, 0.0000, 0.5000)  0.00
Na (0.5000, 0.0000, 0.5000)  0.00
U (0.0000, 0.5000, 0.5000)  1.19
U (0.0000, 0.0000, 0.0000)  1.19

Results
Total DFT energy (no corrections), eV/atom: -5.38
Symmetry: Imma (74)
E_form (uncorrected), eV per atom: -1.038
DOS(E_F), states/eV/cell: 8.25

=====

total DFT energy (no corrections) of number 2 (NaUZnS4)?
-5.38 eV/atom

=====

Number 2 is which compound?
NaUZnS4

=====

What is the total DFT energy (no corrections) in the second record?
-5.38 eV/atom

=====

Which value of DOS(E_F) does entry 2 give?
8.25 states/eV/cell